Compound: LiMgHg2O
Source: Alexandria
Functional: PBE
Structure: relaxed

Lattice parameters (Å, degrees): 4.6256 5.2885 4.6256 90.00 90.00 90.00
With the nearest neighbours (Å) after each atom.
Positions (direct):
Mg  0.0000  0.5000  0.0000  2 Li 2.64
Hg  0.0000  0.0000  0.5000  2 Li 2.31
Hg  0.5000  0.0000  0.0000  2 Li 2.31
O  0.5000  0.5000  0.5000  4 Mg 3.27, 8 Hg 3.51
Li  0.0000  0.0000  0.0000  4 Hg 2.31

Summary:
Total DFT energy (no corrections) in eV per atom: -1.41
Symmetry: P4/mmm (123)
DOS(E_F) in states/eV/f.u.: 3.02
Size of the total moment in μB per formula unit: 0.00
Crystal system: tetragonal

Compound: ScHgRh3
Source: Alexandria
Functional: PBE
Structure: relaxed

Lattice parameters (Å, degrees): 4.6555 4.6555 4.6555 90.00 90.00 90.00
With the nearest neighbours (Å) after each atom.
Positions (direct):
Hg  0.5000  0.5000  0.5000  12 Rh 3.29
Rh  0.5000  0.0000  0.0000  2 Sc 2.33
Rh  0.0000  0.0000  0.5000  2 Sc 2.33
Rh  0.0000  0.5000  0.0000  2 Sc 2.33
Sc  0.0000  0.0000  0.0000  6 Rh 2.33

Summary:
Symmetry: Pm-3m (221)
E_form in eV/f.u.: 3.45
DOS(E_F) in states/eV/f.u.: 6.20
Size of the total moment in μB per formula unit: 0.74
Crystal system: cubic
Polymorph energy (0 for the lowest one) in meV/atom: 0

Compound: Sm2GdBi
Source: Alexandria
Functional: PBE
Structure: relaxed

Lattice parameters (Å, degrees): 3.6769 3.6769 11.3135 80.65 80.65 60.00
With the nearest neighbours (Å) after each atom.
Positions (direct):
Sm  0.2538  0.2538  0.2387  3 Bi 3.40, 3 Gd 3.60, 6 Sm 3.68
Sm  0.7462  0.7462  0.7613  3 Bi 3.40, 3 Gd 3.60, 6 Sm 3.68
Gd  0.5000  0.5000  0.5000  6 Sm 3.60, 6 Gd 3.68
Bi  0.0000  0.0000  0.0000  6 Sm 3.40, 6 Bi 3.68

Summary:
Symmetry: R-3m (166)
E_form in eV/f.u.: -0.79
DOS(E_F) in states/eV/f.u.: 4.06
Size of the total moment in μB per formula unit: 7.32
Crystal system: trigonal
Polymorph energy (0 for the lowest one) in meV/atom: 206

Compound: AcDy6Tm3
Source: Alexandria
Functional: PBE
Structure: relaxed

Lattice parameters (Å, degrees): 9.7760 9.7760 6.9413 45.24 45.24 60.00
With the nearest neighbours (Å) after each atom.
Positions (direct):
Tm  0.1608  0.1608  0.5176  1 Tm 2.90, 1 Ac 3.16
Tm  0.3997  0.3997  0.8010  2 Tm 2.89-2.90
Tm  0.6383  0.6383  0.0852  1 Tm 2.89, 1 Ac 3.17
Dy  0.2493  0.9006  0.2990  2 Tm 3.30, 1 Ac 3.41
Dy  0.9006  0.5511  0.2990  2 Tm 3.30, 1 Ac 3.41
Dy  0.5511  0.2493  0.2990  2 Tm 3.30, 1 Ac 3.41
Dy  0.4002  0.7370  0.7996  3 Tm 3.29-3.44
Dy  0.0632  0.4002  0.7996  3 Tm 3.29-3.44
Dy  0.7370  0.0632  0.7996  3 Tm 3.29-3.44
Ac  0.8998  0.8998  0.3005  2 Tm 3.16-3.17, 3 Dy 3.41

Summary:
Symmetry: R3 (146)
E_form in eV/f.u.: 3.05
DOS(E_F) in states/eV/f.u.: 19.18
Size of the total moment in μB per formula unit: 0.00
Crystal system: trigonal

Compound: Ga2Sn2Ge
Source: Alexandria
Functional: PBE
Structure: relaxed

Lattice parameters (Å, degrees): 8.4140 8.4140 3.3230 90.00 90.00 90.00
With the nearest neighbours (Å) after each atom.
Positions (direct):
Sn  0.1761  0.3239  0.0000  6 Ga 2.92-3.04, 2 Ge 3.10
Sn  0.6761  0.1761  0.0000  6 Ga 2.92-3.04, 2 Ge 3.10
Sn  0.8239  0.6761  0.0000  6 Ga 2.92-3.04, 2 Ge 3.10
Sn  0.3239  0.8239  0.0000  6 Ga 2.92-3.04, 2 Ge 3.10
Ge  0.0000  0.0000  0.0000  4 Sn 3.10, 2 Ge 3.32
Ge  0.5000  0.5000  0.0000  4 Sn 3.10, 2 Ge 3.32
Ga  0.1221  0.6221  0.5000  1 Ga 2.90, 6 Sn 2.92-3.04
Ga  0.6221  0.8779  0.5000  1 Ga 2.90, 6 Sn 2.92-3.04
Ga  0.8779  0.3779  0.5000  1 Ga 2.90, 6 Sn 2.92-3.04
Ga  0.3779  0.1221  0.5000  1 Ga 2.90, 6 Sn 2.92-3.04

Summary:
Symmetry: P4/mbm (127)
E_form in eV/f.u.: 0.84
DOS(E_F) in states/eV/f.u.: 2.23
Size of the total moment in μB per formula unit: 0.00
Crystal system: tetragonal
Polymorph energy (0 for the lowest one) in meV/atom: 43

Compound: Mg2BiH2
Source: Alexandria
Functional: PBE
Structure: relaxed

Lattice parameters (Å, degrees): 7.4045 7.4045 3.0742 90.00 90.00 90.00
With the nearest neighbours (Å) after each atom.
Positions (direct):
Bi  0.5000  0.5000  0.0000  4 H 3.06, 2 Bi 3.07, 8 Mg 3.27
Bi  0.0000  0.0000  0.0000  4 H 3.06, 2 Bi 3.07, 8 Mg 3.27
Mg  0.6333  0.8667  0.5000  4 H 2.32
Mg  0.3667  0.1333  0.5000  4 H 2.32
Mg  0.8667  0.3667  0.5000  4 H 2.32
Mg  0.1333  0.6333  0.5000  4 H 2.32
H  0.9005  0.5995  0.0000  1 H 2.08, 4 Mg 2.32
H  0.0995  0.4005  0.0000  1 H 2.08, 4 Mg 2.32
H  0.5995  0.0995  0.0000  1 H 2.08, 4 Mg 2.32
H  0.4005  0.9005  0.0000  1 H 2.08, 4 Mg 2.32

Summary:
Symmetry: P4/mbm (127)
DOS(E_F) in states/eV/f.u.: 1.63
Size of the total moment in μB per formula unit: 0.00
Crystal system: tetragonal
Polymorph energy (0 for the lowest one) in meV/atom: 436

Compound: Y3Rh2Pb
Source: Alexandria
Functional: PBE
Structure: relaxed

Lattice parameters (Å, degrees): 3.4374 3.4374 11.7322 90.00 90.00 90.00
With the nearest neighbours (Å) after each atom.
Positions (direct):
Y  0.0000  0.0000  0.7055  4 Rh 2.95
Y  0.0000  0.0000  0.2945  4 Rh 2.95
Y  0.0000  0.0000  0.0000  8 Rh 3.01
Rh  0.5000  0.5000  0.1514  8 Y 2.95-3.01
Rh  0.5000  0.5000  0.8486  8 Y 2.95-3.01
Pb  0.5000  0.5000  0.5000  8 Y 3.42, 4 Pb 3.44

Summary:
Symmetry: P4/mmm (123)
E_form in eV/f.u.: -4.34
DOS(E_F) in states/eV/f.u.: 3.25
Size of the total moment in μB per formula unit: 0.00
Crystal system: tetragonal

Compound: KAc2F8
Source: Alexandria
Functional: PBE
Structure: relaxed

Lattice parameters (Å, degrees): 4.0836 6.8332 7.4197 117.42 105.97 90.00
With the nearest neighbours (Å) after each atom.
Positions (direct):
Ac  0.7993  0.2993  0.5986  10 F 2.57-2.71
Ac  0.2007  0.7007  0.4014  10 F 2.57-2.71
F  0.1614  0.1614  0.3228  6 F 2.64-2.81, 2 Ac 2.67, 2 K 2.87
F  0.3356  0.5531  0.6712  3 Ac 2.57, 3 F 2.64-2.81, 1 K 2.82
F  0.8386  0.8386  0.6772  6 F 2.64-2.81, 2 Ac 2.67, 2 K 2.87
F  0.6644  0.4469  0.3288  3 Ac 2.57, 3 F 2.64-2.81, 1 K 2.82
F  0.6644  0.8819  0.3287  3 Ac 2.57, 3 F 2.64-2.81, 1 K 2.82
F  0.0000  0.6475  0.0000  1 F 2.02
F  0.0000  0.3525  0.0000  1 F 2.02
F  0.3356  0.1181  0.6713  3 Ac 2.57, 3 F 2.64-2.81, 1 K 2.82
K  0.5000  0.0000  0.0000  12 F 2.82-3.16

Summary:
Total DFT energy (no corrections) in eV per atom: -5.73
Symmetry: Immm (71)
DOS(E_F) in states/eV/f.u.: 0.50
Size of the total moment in μB per formula unit: 1.09
Crystal system: orthorhombic

Compound: TbSm2Cd2Hg2
Source: Alexandria
Functional: PBE
Structure: relaxed

Lattice parameters (Å, degrees): 4.9521 4.9521 9.3859 74.70 74.70 60.00
With the nearest neighbours (Å) after each atom.
Positions (direct):
Sm  0.1251  0.1251  0.6247  3 Cd 3.19, 3 Hg 3.33, 1 Tb 3.36
Sm  0.8749  0.8749  0.3753  3 Cd 3.19, 3 Hg 3.33, 1 Tb 3.36
Hg  0.3947  0.3947  0.8160  3 Cd 2.88
Hg  0.6053  0.6053  0.1840  3 Cd 2.88
Tb  0.0000  0.0000  0.0000  6 Hg 3.30, 2 Sm 3.36, 6 Cd 3.46
Cd  0.2607  0.2607  0.2178  3 Hg 2.88, 3 Sm 3.19
Cd  0.7393  0.7393  0.7822  3 Hg 2.88, 3 Sm 3.19

Summary:
Symmetry: R-3m (166)
E_form in eV/f.u.: -1.78
DOS(E_F) in states/eV/f.u.: 5.47
Size of the total moment in μB per formula unit: 0.00
Crystal system: trigonal

Compound: BaMgCO2
Source: Alexandria
Functional: PBE
Structure: relaxed

Lattice parameters (Å, degrees): 3.9771 6.6833 3.9771 90.00 90.00 90.00
With the nearest neighbours (Å) after each atom.
Positions (direct):
C  0.5000  0.5000  0.5000  4 Ba 2.81
Ba  0.0000  0.5000  0.0000  4 C 2.81
O  0.0000  0.0000  0.5000  2 Mg 1.99
O  0.5000  0.0000  0.0000  2 Mg 1.99
Mg  0.0000  0.0000  0.0000  4 O 1.99

Summary:
Total DFT energy (no corrections) in eV per atom: -4.41
Symmetry: P4/mmm (123)
DOS(E_F) in states/eV/f.u.: 1.37
Size of the total moment in μB per formula unit: 4.00
Crystal system: tetragonal

Compound: Li2ScNb3N6
Source: Alexandria
Functional: PBE
Structure: relaxed

Lattice parameters (Å, degrees): 3.1050 6.2990 6.9735 104.06 102.86 90.00
With the nearest neighbours (Å) after each atom.
Positions (direct):
Nb  0.1725  0.8247  0.3450  6 N 2.10-2.23
Nb  0.8275  0.1753  0.6550  6 N 2.10-2.23
Nb  0.5000  0.5000  0.0000  6 N 2.14-2.20
N  0.6687  0.0699  0.3373  3 Nb 2.10-2.20, 1 Sc 2.22, 2 Li 2.31
N  0.0032  0.7485  0.0064  3 Nb 2.20-2.23, 2 Sc 2.23, 1 Li 2.28
N  0.3376  0.4047  0.6752  3 Nb 2.10-2.14, 3 Li 2.22-2.25
N  0.3313  0.9301  0.6627  3 Nb 2.10-2.20, 1 Sc 2.22, 2 Li 2.31
N  0.6624  0.5953  0.3248  3 Nb 2.10-2.14, 3 Li 2.22-2.25
N  0.9968  0.2515  0.9936  3 Nb 2.20-2.23, 2 Sc 2.23, 1 Li 2.28
Li  0.8302  0.6578  0.6604  6 N 2.22-2.31
Li  0.1698  0.3422  0.3396  6 N 2.22-2.31
Sc  0.5000  0.0000  0.0000  6 N 2.22-2.23

Summary:
Total DFT energy (no corrections) in eV per atom: -8.63
Symmetry: C2/m (12)
DOS(E_F) in states/eV/f.u.: 3.66
Size of the total moment in μB per formula unit: 0.00
Crystal system: monoclinic